Entry 1:
Compound: AcYGa
Source: the Alexandria database
Functional: PBE
Structure: relaxed

* energy relative to the elements: -4.5 kcal/mol of atoms
* total DFT energy (no corrections): -4.73 eV/atom
* space group: No. 38
* DOS(E_F): 4.52 states/eV/f.u.
* distance to the lowest polymorph of the same formula: 118 meV/atom

Cell and atoms, written as extended XYZ:
```
3
Lattice="3.6349 0.0000 0.0000 0.0000 1.8334 7.1888 0.0000 -1.8334 7.1888" Properties=species:S:1:pos:R:3 pbc="T T T"
Ac 0.0000 0.0000 0.0000
Y 0.0000 0.0000 3.7958
Ga 1.8175 0.0000 9.2933
```

---

Entry 2:
Compound: AcY2Ga
Source: the Alexandria database
Functional: PBE
Structure: relaxed

* energy relative to the elements: -0.6 kcal/mol of atoms
* total DFT energy (no corrections): -5.04 eV/atom
* space group: No. 166
* DOS(E_F): 7.90 states/eV/f.u.
* distance to the lowest polymorph of the same formula: 240 meV/atom

Cell and atoms, written as extended XYZ:
```
4
Lattice="2.1840 1.2610 8.5647 -2.1840 1.2610 8.5647 0.0000 -2.5219 8.5647" Properties=species:S:1:pos:R:3 pbc="T T T"
Ac 0.0000 0.0000 0.0000
Y 0.0000 0.0000 5.6442
Y 0.0000 0.0000 20.0499
Ga 0.0000 0.0000 12.8471
```

---

Entry 3:
Compound: AcYGa
Source: the Alexandria database
Functional: PBE
Structure: relaxed

* energy relative to the elements: -4.4 kcal/mol of atoms
* total DFT energy (no corrections): -4.72 eV/atom
* space group: No. 216
* DOS(E_F): 4.51 states/eV/f.u.
* distance to the lowest polymorph of the same formula: 123 meV/atom

Cell and atoms, written as extended XYZ:
```
3
Lattice="0.0000 3.6925 3.6925 3.6925 0.0000 3.6925 3.6925 3.6925 0.0000" Properties=species:S:1:pos:R:3 pbc="T T T"
Ac 0.0000 0.0000 0.0000
Y 3.6925 3.6925 3.6925
Ga 1.8462 1.8462 1.8462
```

---

Entry 4:
Compound: AcY2Ga
Source: the Alexandria database
Functional: PBE
Structure: relaxed

* energy relative to the elements: 1.0 kcal/mol of atoms
* total DFT energy (no corrections): -4.97 eV/atom
* space group: No. 225
* DOS(E_F): 7.34 states/eV/f.u.
* distance to the lowest polymorph of the same formula: 309 meV/atom

Cell and atoms, written as extended XYZ:
```
4
Lattice="0.0000 3.8940 3.8940 3.8940 0.0000 3.8940 3.8940 3.8940 0.0000" Properties=species:S:1:pos:R:3 pbc="T T T"
Ac 0.0000 0.0000 0.0000
Y 1.9470 1.9470 1.9470
Y 5.8410 5.8410 5.8410
Ga 3.8940 3.8940 3.8940
```

---

Entry 5:
Compound: AcY2Ga6
Source: the Alexandria database
Functional: PBE
Structure: relaxed

* energy relative to the elements: -11.6 kcal/mol of atoms
* total DFT energy (no corrections): -4.41 eV/atom
* space group: No. 71
* DOS(E_F): 3.54 states/eV/f.u.
* distance to the lowest polymorph of the same formula: 116 meV/atom

Cell and atoms, written as extended XYZ:
```
9
Lattice="-2.2190 3.7098 6.5097 2.2190 -3.7098 6.5097 2.2190 3.7098 -6.5097" Properties=species:S:1:pos:R:3 pbc="T T T"
Ac 0.0000 0.0000 0.0000
Y 2.2190 0.0000 4.8476
Y 0.0000 3.7098 1.6621
Ga 2.2190 1.5076 -2.4220
Ga 2.2190 2.4326 0.0000
Ga 2.2190 1.5076 2.4220
Ga 0.0000 2.2022 4.0877
Ga 0.0000 1.2772 6.5097
Ga 0.0000 2.2022 8.9317
```

---

Entry 6:
Compound: AcY2Ga
Source: the Alexandria database
Functional: PBE
Structure: relaxed

* energy relative to the elements: -6.1 kcal/mol of atoms
* total DFT energy (no corrections): -5.28 eV/atom
* space group: No. 123
* DOS(E_F): 3.87 states/eV/f.u.
* distance to the lowest polymorph of the same formula: 0 meV/atom

Cell and atoms, written as extended XYZ:
```
4
Lattice="3.6372 0.0000 0.0000 0.0000 3.6372 0.0000 0.0000 0.0000 9.1856" Properties=species:S:1:pos:R:3 pbc="T T T"
Ac 0.0000 0.0000 0.0000
Y 1.8186 1.8186 2.8080
Y 1.8186 1.8186 6.3776
Ga 0.0000 0.0000 4.5928
```

---

Entry 7:
Compound: AcYZnGa
Source: the Alexandria database
Functional: PBE
Structure: relaxed

* energy relative to the elements: -8.7 kcal/mol of atoms
* total DFT energy (no corrections): -4.10 eV/atom
* space group: No. 216
* DOS(E_F): 4.24 states/eV/f.u.

Cell and atoms, written as extended XYZ:
```
4
Lattice="0.0000 3.7684 3.7684 3.7684 0.0000 3.7684 3.7684 3.7684 0.0000" Properties=species:S:1:pos:R:3 pbc="T T T"
Ac 0.0000 0.0000 0.0000
Y 3.7684 3.7684 3.7684
Zn 1.8842 1.8842 1.8842
Ga 5.6526 5.6526 5.6526
```

---

Entry 8:
Compound: AcYbGa2
Source: the Alexandria database
Functional: PBE
Structure: relaxed

* energy relative to the elements: -11.3 kcal/mol of atoms
* total DFT energy (no corrections): -3.41 eV/atom
* space group: No. 225
* DOS(E_F): 15.88 states/eV/f.u.

Cell and atoms, written as extended XYZ:
```
4
Lattice="0.0000 3.7921 3.7921 3.7921 0.0000 3.7921 3.7921 3.7921 0.0000" Properties=species:S:1:pos:R:3 pbc="T T T"
Ac 0.0000 0.0000 0.0000
Yb 3.7921 3.7921 3.7921
Ga 1.8961 1.8961 1.8961
Ga 5.6882 5.6882 5.6882
```

---

Entry 9:
Compound: Ac6ZnGa2
Source: the Alexandria database
Functional: PBE
Structure: relaxed

* energy relative to the elements: -5.6 kcal/mol of atoms
* total DFT energy (no corrections): -3.80 eV/atom
* space group: No. 71
* DOS(E_F): 11.02 states/eV/f.u.
* distance to the lowest polymorph of the same formula: 0 meV/atom

Cell and atoms, written as extended XYZ:
```
18
Lattice="-5.3318 5.4038 5.6357 5.3318 -5.4038 5.6357 5.3318 5.4038 -5.6357" Properties=species:S:1:pos:R:3 pbc="T T T"
Ac 5.3318 3.3353 -2.8447
Ac 3.2223 0.0000 1.9207
Ac 7.4413 0.0000 1.9207
Ac 2.5157 3.5550 0.0000
Ac 2.8160 -1.8488 5.6357
Ac 0.0000 2.0685 2.7910
Ac 5.3318 3.3353 2.8447
Ac 2.5157 7.2526 0.0000
Ac 2.8160 1.8488 5.6357
Ac -2.1095 5.4038 3.7150
Ac 2.1095 5.4038 3.7150
Ac 0.0000 2.0685 8.4804
Zn 0.0000 0.0000 0.0000
Zn 0.0000 0.0000 5.6357
Ga 5.3318 1.6988 0.0000
Ga 5.3318 0.0000 4.3400
Ga 0.0000 5.4038 1.2957
Ga 0.0000 3.7050 5.6357
```

---

Entry 10:
Compound: Ac2Zn12Ga5
Source: the Alexandria database
Functional: PBE
Structure: relaxed

* energy relative to the elements: -4.6 kcal/mol of atoms
* total DFT energy (no corrections): -2.23 eV/atom
* space group: No. 166
* DOS(E_F): 8.15 states/eV/f.u.

Cell and atoms, written as extended XYZ:
```
19
Lattice="4.7910 2.7661 4.4079 -4.7910 2.7661 4.4079 0.0000 -5.5322 4.4079" Properties=species:S:1:pos:R:3 pbc="T T T"
Ac 0.0000 0.0000 2.1990
Ac 0.0000 0.0000 11.0247
Zn 0.0000 -2.8698 4.2869
Zn -2.4853 1.4349 4.2869
Zn -1.4591 -2.5273 6.6118
Zn -2.9182 0.0000 6.6118
Zn -2.4853 -1.4349 8.9368
Zn 1.4591 -2.5273 6.6118
Zn -1.4591 2.5273 6.6118
Zn 2.4853 1.4349 4.2869
Zn 2.9182 0.0000 6.6118
Zn 1.4591 2.5273 6.6118
Zn 2.4853 -1.4349 8.9368
Zn 0.0000 2.8698 8.9368
Ga -2.3955 -1.3830 4.4079
Ga 0.0000 0.0000 5.3359
Ga -2.3955 1.3830 8.8158
Ga 0.0000 2.7661 4.4079
Ga 0.0000 0.0000 7.8877
```

---

Entry 11:
Compound: Ac2Zn3Ga5
Source: the Alexandria database
Functional: PBE
Structure: relaxed

* energy relative to the elements: -11.2 kcal/mol of atoms
* total DFT energy (no corrections): -3.21 eV/atom
* space group: No. 72
* DOS(E_F): 2.73 states/eV/f.u.
* distance to the lowest polymorph of the same formula: 0 meV/atom

Cell and atoms, written as extended XYZ:
```
20
Lattice="-5.3212 6.3349 3.1559 5.3212 -6.3349 3.1559 5.3212 6.3349 -3.1559" Properties=species:S:1:pos:R:3 pbc="T T T"
Ac 2.6480 1.5876 0.0000
Ac 2.6480 -1.5876 3.1559
Ac 2.6733 7.9225 0.0000
Ac 2.6733 4.7474 3.1559
Zn 9.2790 1.5939 0.0000
Zn 5.3212 0.0000 1.5779
Zn 3.9578 4.7411 0.0000
Zn 1.3635 1.5939 3.1559
Zn 0.0000 6.3349 1.5779
Zn -3.9578 4.7411 3.1559
Ga 5.3212 -3.1398 1.5779
Ga 6.7417 1.5380 0.0000
Ga 0.0000 0.0000 1.5779
Ga 1.4205 4.7969 0.0000
Ga 5.3212 3.1398 1.5779
Ga 0.0000 3.1951 1.5779
Ga 3.9007 1.5380 3.1559
Ga 0.0000 0.0000 4.7338
Ga -1.4205 4.7969 3.1559
Ga 0.0000 9.4747 1.5779
```

---

Entry 12:
Compound: Ac2Zn7Ga
Source: the Alexandria database
Functional: PBE
Structure: relaxed

* energy relative to the elements: -7.7 kcal/mol of atoms
* total DFT energy (no corrections): -2.35 eV/atom
* space group: No. 115
* DOS(E_F): 7.20 states/eV/f.u.

Cell and atoms, written as extended XYZ:
```
10
Lattice="4.5267 0.0000 0.0000 0.0000 4.5267 0.0000 0.0000 0.0000 10.2864" Properties=species:S:1:pos:R:3 pbc="T T T"
Ac 0.0000 2.2633 2.5759
Ac 2.2633 0.0000 7.7105
Zn 0.0000 0.0000 0.0000
Zn 0.0000 0.0000 5.1432
Zn 0.0000 2.2633 6.4262
Zn 0.0000 2.2633 8.9479
Zn 2.2633 0.0000 1.3385
Zn 2.2633 0.0000 3.8602
Zn 2.2633 2.2633 5.1432
Ga 2.2633 2.2633 0.0000
```